# 1
The following is a PBE calculation of a geometry-optimized Pm2YAl structure, from Alexandria.

## Properties
- Raw total energy: -5.08 eV/atom
- Energy of formation from the pure elements: -15 kJ per mole of atoms
- Symmetry: Immm (71)

abc: 4.769 4.758 6.014
angles: 113.30 113.36 90.00
Positions (direct):
1 Pm 0.249 0.749 0.498
2 Pm 0.751 0.251 0.502
3 Al 0.000 0.000 0.000
4 Y 0.500 0.500 0.000

***

# 2
The following is a PBE calculation of a geometry-optimized Pm2YAl structure, from Alexandria.

## Properties
- Raw total energy: -5.11 eV/atom
- Energy of formation from the pure elements: -18 kJ per mole of atoms
- Symmetry: Amm2 (38)

abc: 5.345 7.001 7.001
angles: 120.01 90.00 90.00
Positions (direct):
1 Al 0.000 0.336 0.664
2 Al 0.500 0.666 0.334
3 Pm 0.500 0.176 0.824
4 Pm 0.000 0.822 0.178
5 Pm 0.000 0.823 0.645
6 Pm 0.000 0.355 0.177
7 Y 0.500 0.647 0.824
8 Y 0.500 0.176 0.353

***

# 3
The following is a PBE calculation of a geometry-optimized PmY2Al structure, from Alexandria.

## Properties
- Raw total energy: -5.53 eV/atom
- Energy of formation from the pure elements: -17 kJ per mole of atoms
- Symmetry: P4/mmm (123)

abc: 4.792 4.827 4.827
angles: 90.00 90.00 90.00
Positions (direct):
1 Y 0.000 0.000 0.500
2 Y 0.000 0.500 0.000
3 Pm 0.500 0.500 0.500
4 Al 0.500 0.000 0.000

***

# 4
The following is a PBE calculation of a geometry-optimized Pm8Y2Al structure, from Alexandria.

## Properties
- Raw total energy: -4.94 eV/atom
- Energy of formation from the pure elements: 3 kJ per mole of atoms
- Symmetry: C2/m (12)

abc: 5.548 7.577 9.906
angles: 112.42 106.26 90.00
Positions (direct):
1 Pm 0.632 0.401 0.264
2 Pm 0.000 0.250 0.000
3 Pm 0.633 0.865 0.265
4 Pm 0.367 0.135 0.735
5 Pm 0.180 0.180 0.359
6 Pm 0.000 0.750 0.000
7 Pm 0.820 0.820 0.641
8 Pm 0.368 0.599 0.736
9 Al 0.500 0.000 0.000
10 Y 0.807 0.307 0.614
11 Y 0.193 0.693 0.386